The following is a DFT calculation (PBE+U) of crystalline WN2OF5 at its relaxed geometry.

```
data_WN2OF5
_space_group_name_H-M_alt 'C m c m'
_space_group_IT_number 63
_space_group_name_Hall '-C 2c 2'
_cell_length_a 5.166
_cell_length_b 14.997
_cell_length_c 7.874
_cell_angle_alpha 90.00
_cell_angle_beta 90.00
_cell_angle_gamma 90.00
loop_
_atom_site_label
_atom_site_type_symbol
_atom_site_fract_x
_atom_site_fract_y
_atom_site_fract_z
W1 W 0.000 0.112 0.250
N1 N 0.000 0.215 0.750
N2 N 0.000 0.463 0.250
O1 O 0.000 0.011 0.750
F1 F 0.000 0.244 0.250
F2 F 0.245 0.380 0.578
```

Summary:
**D(E_F)**: 0.22 states/eV/atom
**Calculated total energy**: -4.764 eV/atom